This record from Alexandria via LeMat-Bulk describes an optimized crystal structure of NaWO2. The functional is GGA+U.

Values from the calculation:
For the electronic total energy, the calculation gives -5.925 eV per atom. Its magnetization is 0.276 μB/atom.

a = 6.577 Å, b = 6.577 Å, c = 6.577 Å
α = 29.03°, β = 29.03°, γ = 29.03°
Site moments in Bohr magnetons follow the coordinates.
Fractional positions:
O 0.886 0.886 0.886  0.00
W 0.500 0.500 0.500  1.33
Na 0.000 0.000 0.000  -0.01
O 0.114 0.114 0.114  0.00